(1)
# Tb5Sm3Dy3

A relaxed structure of Tb5Sm3Dy3 (PBE, Alexandria via LeMat-Bulk). Values from VASP.

The structure in Quantum ESPRESSO input format:
```
&SYSTEM
  ibrav = 0, nat = 11, ntyp = 3
/
ATOMIC_SPECIES
Tb 158.93 Tb.upf
Sm 150.36 Sm.upf
Dy 162.50 Dy.upf
CELL_PARAMETERS angstrom
9.680 0.000 0.000
-4.840 8.383 0.000
0.000 0.000 5.561
ATOMIC_POSITIONS crystal
Tb 0.000 0.724 0.000
Tb 0.276 0.276 0.000
Tb 0.333 0.667 0.000
Tb 0.667 0.333 0.000
Tb 0.724 0.000 0.000
Sm 0.000 0.557 0.500
Sm 0.443 0.443 0.500
Sm 0.557 0.000 0.500
Dy 0.000 0.366 0.000
Dy 0.366 0.000 0.000
Dy 0.634 0.634 0.000
```

magnetization = 0.00 μB per cell
ΔH_f (0 K) = 0.785 eV per atom

***

(2)
# Tb6Sm4Dy

A relaxed structure of Tb6Sm4Dy (PBE, Alexandria via LeMat-Bulk). Values from VASP.

The structure in Quantum ESPRESSO input format:
```
&SYSTEM
  ibrav = 0, nat = 22, ntyp = 3
/
ATOMIC_SPECIES
Tb 158.93 Tb.upf
Sm 150.36 Sm.upf
Dy 162.50 Dy.upf
CELL_PARAMETERS angstrom
2.904 -4.816 0.000
2.904 4.816 0.000
0.000 0.000 25.672
ATOMIC_POSITIONS crystal
Tb 0.000 0.000 0.000
Tb 0.000 0.000 0.500
Tb 0.039 0.961 0.750
Tb 0.300 0.700 0.106
Tb 0.300 0.700 0.394
Tb 0.371 0.629 0.683
Tb 0.371 0.629 0.817
Tb 0.629 0.371 0.183
Tb 0.629 0.371 0.317
Tb 0.700 0.300 0.606
Tb 0.700 0.300 0.894
Tb 0.961 0.039 0.250
Sm 0.043 0.957 0.622
Sm 0.043 0.957 0.878
Sm 0.350 0.650 0.544
Sm 0.350 0.650 0.956
Sm 0.650 0.350 0.044
Sm 0.650 0.350 0.456
Sm 0.957 0.043 0.122
Sm 0.957 0.043 0.378
Dy 0.297 0.703 0.250
Dy 0.703 0.297 0.750
```

ΔE to the lowest computed polymorph = 0 meV/atom
magnetization = 0.00 μB per cell
ΔH_f (0 K) = 0.122 eV per atom

***

(3)
# Tb3Sm6Dy2

A relaxed structure of Tb3Sm6Dy2 (PBE, Alexandria via LeMat-Bulk). Values from VASP.

The structure in Quantum ESPRESSO input format:
```
&SYSTEM
  ibrav = 0, nat = 11, ntyp = 3
/
ATOMIC_SPECIES
Tb 158.93 Tb.upf
Sm 150.36 Sm.upf
Dy 162.50 Dy.upf
CELL_PARAMETERS angstrom
1.797 1.037 32.198
-1.797 1.037 32.198
0.000 -2.075 32.198
ATOMIC_POSITIONS crystal
Tb 0.000 0.000 0.000
Tb 0.273 0.273 0.273
Tb 0.727 0.727 0.727
Sm 0.091 0.091 0.091
Sm 0.182 0.182 0.182
Sm 0.364 0.364 0.364
Sm 0.636 0.636 0.636
Sm 0.818 0.818 0.818
Sm 0.909 0.909 0.909
Dy 0.454 0.454 0.454
Dy 0.546 0.546 0.546
```

ΔE to the lowest computed polymorph = 0 meV/atom
magnetization = 0.00 μB per cell
ΔH_f (0 K) = 0.013 eV per atom